Ir3S8, optimized geometry, DFT PBEsol; total energy = -6.296 eV per atom; V = 178 Å³ per cell; theoretical density = 7.77 g/cm³; crystal system = trigonal; uncorrected formation energy = -428 meV/atom; size of the total moment = 0.0 μB/f.u.
1.0
5.6248 -0.0095 -0.0094
0.0499 5.6246 -0.0094
0.0499 0.0494 5.6244
S Ir
8 3
Direct
0.8902 0.6100 0.1111
0.1111 0.8902 0.6100
0.6100 0.1111 0.8902
0.6259 0.6259 0.6259
0.3741 0.3741 0.3741
0.3900 0.8889 0.1098
0.8889 0.1098 0.3900
0.1098 0.3900 0.8889
0.0000 0.5000 0.5000
0.5000 0.0000 0.5000
0.5000 0.5000 0.0000